No. 1
Computed, not measured: a geometry-optimized RuPt2 structure at the GGA-PBE level of DFT.

Unit cell a=2.7500 b=7.3533 c=4.5696 alpha=90.00 beta=90.00 gamma=79.22
Sites, in units of the cell vectors:
1 Pt 0.9939 0.0123 0.0000
2 Pt 0.2284 0.5433 0.5000
3 Pt 0.5542 0.8916 0.5000
4 Pt 0.6680 0.6639 0.0000
5 Ru 0.3341 0.3318 0.0000
6 Ru 0.8881 0.2237 0.5000

## Properties
* calculated formation energy: 50 meV per atom
* magnetic moment: 0.000 μB per atom
* total energy: -7.07 eV/atom
* space-group type: Cmcm (63)

---

No. 2
Computed, not measured: a geometry-optimized Mg2NbSb2 structure at the GGA-PBE level of DFT.

Unit cell a=7.3772 b=7.3772 c=4.1765 alpha=90.00 beta=90.00 gamma=90.00
Sites, in units of the cell vectors:
1 Sb 0.3501 0.8501 0.0000
2 Sb 0.8501 0.6499 0.0000
3 Sb 0.6499 0.1499 0.0000
4 Sb 0.1499 0.3501 0.0000
5 Nb 0.0000 0.0000 0.0000
6 Nb 0.5000 0.5000 0.0000
7 Mg 0.1604 0.6604 0.5000
8 Mg 0.6604 0.8396 0.5000
9 Mg 0.8396 0.3396 0.5000
10 Mg 0.3396 0.1604 0.5000

## Properties
* magnetic moment: 0.000 μB per atom
* energy relative to the elements, uncorrected: -0.0695 eV/atom
* total energy: -4.37 eV/atom
* space-group type: P4/mbm (127)

---

No. 3
Computed, not measured: a geometry-optimized TbZn3Ni8 structure at the GGA-PBE level of DFT.

Unit cell a=4.8126 b=4.8126 c=7.8517 alpha=90.00 beta=90.00 gamma=120.00
Sites, in units of the cell vectors:
1 Tb 0.0000 0.0000 0.5696
2 Zn 0.6667 0.3333 0.4044
3 Zn 0.6667 0.3333 0.0549
4 Zn 0.0000 0.0000 0.9580
5 Ni 0.3333 0.6667 0.4991
6 Ni 0.3333 0.6667 0.0001
7 Ni 0.5026 0.0051 0.7601
8 Ni 0.5026 0.4974 0.7601
9 Ni 0.9949 0.4974 0.7601
10 Ni 0.1651 0.3303 0.2446
11 Ni 0.1651 0.8349 0.2446
12 Ni 0.6697 0.8349 0.2446

## Properties
* calculated formation energy: -177 meV per atom
* magnetic moment: 0.084 μB per atom
* total energy: -4.74 eV/atom
* space-group type: P3m1 (156)

---

No. 4
Computed, not measured: a geometry-optimized LaSm2DySe4 structure at the GGA-PBE level of DFT.

Unit cell a=4.1400 b=7.2272 c=7.3278 alpha=71.08 beta=90.00 gamma=90.00
Sites, in units of the cell vectors:
1 La 0.5000 0.5000 0.0000
2 Sm 0.0000 0.0000 0.0000
3 Sm 0.5000 0.0000 0.5000
4 Dy 0.0000 0.5000 0.5000
5 Se 0.0000 0.7532 0.7400
6 Se 0.0000 0.2468 0.2600
7 Se 0.5000 0.7465 0.2596
8 Se 0.5000 0.2535 0.7404

## Properties
* magnetic moment: 0.000 μB per atom
* energy relative to the elements, uncorrected: -1.8385 eV/atom
* total energy: -5.95 eV/atom
* space-group type: P2/m (10)